Below is a geometry-optimized SrSc2Pd2 structure, with properties calculated at the PBE level.

Cell lengths 8.0883, 8.0883, 3.4664 Å; angles 90.00, 90.00, 90.00 degrees
Closest atoms and distances in Å follow each position.
Space group P4/mbm (No. 127)
Asymmetric unit:
Sr  0.0000  0.0000  0.0000  4 Pd 3.14, 2 Sr 3.47
Sc  0.1421  0.3579  0.5000  6 Pd 2.84-3.07
Pd  0.1363  0.6363  0.0000  6 Sc 2.84-3.07, 1 Pd 3.12, 2 Sr 3.14

Summary:
Total moment ... 0.0 Bohr magnetons per cell
Energy of formation ... -533.4 meV/atom
DOS at the Fermi energy ... 11.95 states/eV per cell



Below is a geometry-optimized Sc2TaPd structure, with properties calculated at the PBE level.

Cell lengths 7.5031, 7.5031, 5.7946 Å; angles 90.00, 90.00, 90.00 degrees
Closest atoms and distances in Å follow each position.
Space group I-42d (No. 122)
Asymmetric unit:
Sc  0.2142  0.2500  0.1250  2 Pd 2.57
Ta  0.0000  0.0000  0.5000  2 Pd 2.90, 4 Sc 2.94
Pd  0.0000  0.0000  0.0000  4 Sc 2.57

Summary:
Total moment ... 0.0 Bohr magnetons per cell
Energy of formation ... 148.9 meV/atom
DOS at the Fermi energy ... 21.54 states/eV per cell



Below is a geometry-optimized ScTa2Pd9 structure, with properties calculated at the PBE level.

Cell lengths 3.9735, 3.9735, 11.9968 Å; angles 90.00, 90.00, 90.00 degrees
Closest atoms and distances in Å follow each position.
Space group P4/mmm (No. 123)
Asymmetric unit:
Sc  0.0000  0.0000  0.0000  12 Pd 2.81-2.87
Ta  0.0000  0.0000  0.3301  12 Pd 2.74-2.85
Pd  0.0000  0.5000  0.1724  2 Ta 2.74, 8 Pd 2.80-2.87, 2 Sc 2.87
Pd  0.0000  0.5000  0.5000  8 Pd 2.79-2.81, 4 Ta 2.85
Pd  0.5000  0.5000  0.0000  4 Sc 2.81, 8 Pd 2.87
Pd  0.5000  0.5000  0.3372  8 Pd 2.79-2.80, 4 Ta 2.81

Summary:
Total moment ... 0.0 Bohr magnetons per cell
Energy of formation ... -551.7 meV/atom
DOS at the Fermi energy ... 8.75 states/eV per cell



Below is a geometry-optimized Sc2TaPd structure, with properties calculated at the PBE level.

Cell lengths 3.0690, 3.0690, 29.5668 Å; angles 90.00, 90.00, 120.00 degrees
Closest atoms and distances in Å follow each position.
Space group R-3m (No. 166, hexagonal axes)
Asymmetric unit:
Sc  0.0000  0.0000  0.0851  1 Pd 2.52
Ta  0.0000  0.0000  0.5000  6 Sc 2.99, 6 Ta 3.07
Pd  0.0000  0.0000  0.0000  2 Sc 2.52

Summary:
Total moment ... 0.0 Bohr magnetons per cell
Energy of formation ... 59.5 meV/atom
DOS at the Fermi energy ... 17.25 states/eV per cell



Below is a geometry-optimized Sc2TaPd structure, with properties calculated at the PBE level.

Cell lengths 3.0186, 3.0186, 30.2142 Å; angles 90.00, 90.00, 120.00 degrees
Closest atoms and distances in Å follow each position.
Space group R-3m (No. 166, hexagonal axes)
Asymmetric unit:
Sc  0.0000  0.0000  0.0934  3 Pd 2.82, 1 Ta 2.82, 6 Sc 3.02
Ta  0.0000  0.0000  0.0000  2 Sc 2.82, 6 Ta 3.02
Pd  0.0000  0.0000  0.5000  6 Sc 2.82, 6 Pd 3.02

Summary:
Total moment ... 2.8 Bohr magnetons per cell
Energy of formation ... 114.4 meV/atom
DOS at the Fermi energy ... 16.12 states/eV per cell



Below is a geometry-optimized Sc2TaPd structure, with properties calculated at the PBE level.

Cell lengths 3.1631, 3.1631, 7.6706 Å; angles 90.00, 90.00, 90.00 degrees
Closest atoms and distances in Å follow each position.
Space group P4/mmm (No. 123)
Asymmetric unit:
Sc  0.0000  0.0000  0.2271  4 Pd 2.84, 4 Ta 3.06, 4 Sc 3.16
Ta  0.5000  0.5000  0.5000  8 Sc 3.06, 4 Ta 3.16
Pd  0.5000  0.5000  0.0000  8 Sc 2.84, 4 Pd 3.16

Summary:
Total moment ... 0.0 Bohr magnetons per cell
Energy of formation ... -321.3 meV/atom
DOS at the Fermi energy ... 4.47 states/eV per cell



Below is a geometry-optimized Sc2TaPd structure, with properties calculated at the PBE level.

Cell lengths 6.7685, 6.7685, 6.7685 Å; angles 90.00, 90.00, 90.00 degrees
Closest atoms and distances in Å follow each position.
Space group Fm-3m (No. 225)
Asymmetric unit:
Sc  0.2500  0.2500  0.2500  4 Ta 2.93, 4 Pd 2.93
Ta  0.0000  0.0000  0.0000  8 Sc 2.93
Pd  0.0000  0.0000  0.5000  8 Sc 2.93

Summary:
Total moment ... 10.8 Bohr magnetons per cell
Energy of formation ... -48.1 meV/atom
DOS at the Fermi energy ... 20.15 states/eV per cell



Below is a geometry-optimized Sc3TaPd12 structure, with properties calculated at the PBE level.

Cell lengths 3.9993, 3.9993, 15.9748 Å; angles 90.00, 90.00, 90.00 degrees
Closest atoms and distances in Å follow each position.
Space group P4/mmm (No. 123)
Asymmetric unit:
Sc  0.0000  0.0000  0.0000  12 Pd 2.83-2.84
Sc  0.0000  0.0000  0.2466  12 Pd 2.77-2.93
Ta  0.0000  0.0000  0.5000  12 Pd 2.76-2.83
Pd  0.0000  0.5000  0.1263  4 Sc 2.77-2.84, 8 Pd 2.83-2.85
Pd  0.0000  0.5000  0.3805  2 Ta 2.76, 8 Pd 2.76-2.85, 2 Sc 2.93
Pd  0.5000  0.5000  0.0000  4 Sc 2.83, 8 Pd 2.84
Pd  0.5000  0.5000  0.2535  4 Sc 2.83, 8 Pd 2.85
Pd  0.5000  0.5000  0.5000  8 Pd 2.76, 4 Ta 2.83

Summary:
Total moment ... 0.0 Bohr magnetons per cell
Energy of formation ... -775.4 meV/atom
DOS at the Fermi energy ... 6.73 states/eV per cell